(1)
{"formula": "MgIn5Hg12", "functional": "PBE", "state": "relaxed", "sg": "No. 12", "delta_e_f_ev_per_atom": -0.009, "energy_ev_per_cell": -19.1, "cell": [[-0.447, -6.435, -1.188], [5.240, -3.481, -1.224], [1.505, -0.557, 13.288]], "species": ["Hg", "Hg", "Hg", "Hg", "In", "Hg", "Hg", "Hg", "Hg", "In", "Hg", "Mg", "In", "In", "Hg", "In", "Hg", "Hg"], "frac_coords": [[0.255, 0.000, 0.676], [0.048, 0.681, 0.161], [0.745, 0.000, 0.324], [0.271, 0.681, 0.839], [0.662, 0.677, 0.000], [0.550, 0.352, 0.668], [0.729, 0.319, 0.161], [0.450, 0.648, 0.332], [0.902, 0.648, 0.668], [0.156, 0.687, 0.500], [0.952, 0.319, 0.839], [0.000, 0.000, 0.000], [0.844, 0.313, 0.500], [0.338, 0.323, 0.000], [0.652, 0.000, 0.837], [0.500, 0.000, 0.500], [0.348, 0.000, 0.163], [0.098, 0.352, 0.332]]}

(2)
{"formula": "Mg2InHg", "functional": "PBE", "state": "relaxed", "sg": "No. 160", "delta_e_f_ev_per_atom": -0.043, "energy_ev_per_cell": -6.4, "cell": [[9.666, -0.092, -0.054], [9.093, 3.281, -0.054], [9.093, 1.546, 2.895]], "species": ["Mg", "Hg", "In", "Mg"], "frac_coords": [[0.999, 0.999, 0.999], [0.504, 0.504, 0.504], [0.751, 0.751, 0.751], [0.246, 0.246, 0.246]]}

(3)
{"formula": "Mg4InHg", "functional": "PBE", "state": "relaxed", "sg": "No. 216", "delta_e_f_ev_per_atom": 0.031, "polymorph_energy_mev_per_atom": 129, "energy_ev_per_cell": -9.2, "cell": [[0.000, 4.149, 4.149], [4.149, 0.000, 4.149], [4.149, 4.149, 0.000]], "species": ["Hg", "In", "Mg", "Mg", "Mg", "Mg"], "frac_coords": [[0.750, 0.750, 0.750], [0.000, 0.000, 0.000], [0.875, 0.375, 0.375], [0.375, 0.875, 0.375], [0.375, 0.375, 0.875], [0.375, 0.375, 0.375]]}

(4)
{"formula": "MgIn6Hg12", "functional": "PBE", "state": "relaxed", "sg": "No. 148", "delta_e_f_ev_per_atom": -0.002, "energy_ev_per_cell": -21.7, "cell": [[-6.803, -2.176, 4.908], [-2.580, 1.341, -8.164], [5.912, -6.333, 0.206]], "species": ["Hg", "Hg", "Hg", "In", "In", "Hg", "In", "Hg", "Hg", "In", "Hg", "Hg", "In", "In", "Hg", "Hg", "Hg", "Hg", "Mg"], "frac_coords": [[0.613, 0.927, 0.402], [0.262, 0.910, 0.848], [0.910, 0.848, 0.262], [0.307, 0.473, 0.202], [0.798, 0.693, 0.527], [0.073, 0.598, 0.387], [0.693, 0.527, 0.798], [0.598, 0.387, 0.073], [0.927, 0.402, 0.613], [0.527, 0.798, 0.693], [0.152, 0.738, 0.090], [0.738, 0.090, 0.152], [0.202, 0.307, 0.473], [0.473, 0.202, 0.307], [0.848, 0.262, 0.910], [0.090, 0.152, 0.738], [0.387, 0.073, 0.598], [0.402, 0.613, 0.927], [0.000, 0.000, 0.000]]}